[1]
## Pr2Sn3 (PBE)

Data for a relaxed Pr2Sn3 crystal.

Lattice parameters (Å, degrees): 7.838 7.838 4.713 90.00 90.00 90.00
Atoms (fractional coordinates):
Pr 0.146 0.696 0.000
Pr 0.304 0.146 0.000
Pr 0.696 0.854 0.000
Pr 0.854 0.304 0.000
Sn 0.000 0.000 0.500
Sn 0.172 0.399 0.500
Sn 0.399 0.828 0.500
Sn 0.500 0.500 0.000
Sn 0.601 0.172 0.500
Sn 0.828 0.601 0.500

Calculated total energy ... -4.976 eV per atom
Formation enthalpy at 0 K ... -0.6621 eV per atom
Space-group type ... P4/m (83)
Crystal system ... tetragonal


[2]
## Hf2AlTe (PBE)

Data for a relaxed Hf2AlTe crystal.

Lattice parameters (Å, degrees): 4.917 4.917 4.917 60.00 60.00 60.00
Atoms (fractional coordinates):
Hf 0.250 0.250 0.250
Hf 0.750 0.750 0.750
Al 0.000 0.000 0.000
Te 0.500 0.500 0.500

Formation energy without anion corrections ... -0.3 eV/f.u.
Calculated total energy ... -6.784 eV per atom
Space-group type ... Fm-3m (225)
Crystal system ... cubic


[3]
## CoAg2Ru (PBE)

Data for a relaxed CoAg2Ru crystal.

Lattice parameters (Å, degrees): 9.395 9.395 9.395 16.86 16.86 16.86
Atoms (fractional coordinates):
Co 0.000 0.000 0.000
Ag 0.251 0.251 0.251
Ag 0.492 0.492 0.492
Ru 0.737 0.737 0.737

Calculated total energy ... -5.200 eV per atom
Formation enthalpy at 0 K ... 0.3215 eV per atom
Space-group type ... R3m (160)
Crystal system ... trigonal